Arrangement i

## TiNb3As (PBE)

Data for a relaxed TiNb3As crystal.

a b c (Å): 4.745 4.745 4.745
angles (deg): 90.00 90.00 90.00
Positions (direct):
Ti (0.500, 0.500, 0.500)
As (0.000, 0.000, 0.000)
Nb (0.500, 0.000, 0.000)
Nb (0.000, 0.500, 0.000)
Nb (0.000, 0.000, 0.500)

Output
Total magnetization ... 0.00 μB/atom

---

Arrangement ii

## TiNb3As (PBE)

Data for a relaxed TiNb3As crystal.

a b c (Å): 4.704 4.704 4.704
angles (deg): 90.00 90.00 90.00
Positions (direct):
As (0.500, 0.500, 0.500)
Ti (0.000, 0.000, 0.000)
Nb (0.000, 0.000, 0.500)
Nb (0.000, 0.500, 0.000)
Nb (0.500, 0.000, 0.000)

Output
Total magnetization ... 0.00 μB/atom

---

Energy comparison, zero being the most stable, in meV per atom: arrangement i 0; arrangement ii 537.

---

Arrangement i

## ZrTiNbAs2 (PBE)

Data for a relaxed ZrTiNbAs2 crystal.

a b c (Å): 4.821 4.630 4.821
angles (deg): 90.00 90.00 90.00
Positions (direct):
Zr (0.500, 0.500, 0.500)
Ti (0.000, 0.000, 0.000)
Nb (0.000, 0.500, 0.000)
As (0.500, 0.000, 0.000)
As (0.000, 0.000, 0.500)

Output
Total magnetization ... 0.00 μB/atom

---

Arrangement ii

## ZrTiNbAs2 (PBE)

Data for a relaxed ZrTiNbAs2 crystal.

a b c (Å): 4.919 5.077 4.919
angles (deg): 90.00 90.00 90.00
Positions (direct):
As (0.000, 0.000, 0.500)
Nb (0.000, 0.000, 0.000)
As (0.500, 0.000, 0.000)
Ti (0.500, 0.500, 0.500)
Zr (0.000, 0.500, 0.000)

Output
Total magnetization ... 0.00 μB/atom

---

Energy comparison, zero being the most stable, in meV per atom: arrangement i 0; arrangement ii 276.

---

Arrangement i

## Nb2Tl2As (PBE)

Data for a relaxed Nb2Tl2As crystal.

a b c (Å): 3.895 3.895 7.856
angles (deg): 75.65 75.65 90.00
Positions (direct):
Tl (0.250, 0.750, 0.500)
As (0.000, 0.000, 0.000)
Nb (0.586, 0.586, 0.828)
Nb (0.414, 0.414, 0.172)
Tl (0.750, 0.250, 0.500)

Output
Total magnetization ... 0.00 μB/atom

---

Arrangement ii

## Nb2Tl2As (PBE)

Data for a relaxed Nb2Tl2As crystal.

a b c (Å): 6.721 6.721 4.767
angles (deg): 90.00 90.00 90.00
Positions (direct):
Nb (0.855, 0.645, 0.000)
Tl (0.834, 0.334, 0.500)
Nb (0.145, 0.355, 0.000)
Tl (0.666, 0.834, 0.500)
Nb (0.645, 0.145, 0.000)
Nb (0.355, 0.855, 0.000)
Tl (0.334, 0.166, 0.500)
Tl (0.166, 0.666, 0.500)
As (0.000, 0.000, 0.000)
As (0.500, 0.500, 0.000)

Output
Total magnetization ... 0.00 μB/atom

---

Energy comparison, zero being the most stable, in meV per atom: arrangement i 514; arrangement ii 0.

---

Arrangement i

## NbTl2As (PBE)

Data for a relaxed NbTl2As crystal.

a b c (Å): 8.131 8.131 6.427
angles (deg): 50.76 50.76 90.00
Positions (direct):
Tl (0.126, 0.625, 0.250)
Tl (0.375, 0.376, 0.750)
As (0.500, 0.500, 0.000)
Nb (0.750, 0.250, 0.500)
As (0.250, 0.750, 0.500)
Nb (0.000, 0.000, 0.000)
Tl (0.624, 0.125, 0.250)
Tl (0.875, 0.874, 0.750)

Output
Total magnetization ... 0.00 μB/atom

---

Arrangement ii

## NbTl2As (PBE)

Data for a relaxed NbTl2As crystal.

a b c (Å): 5.098 5.098 5.098
angles (deg): 60.00 60.00 60.00
Last column: magnetic moment on the atom in μB.
Positions (direct):
Tl (0.250, 0.250, 0.250)  0.00
As (0.000, 0.000, 0.000)  -0.05
Nb (0.500, 0.500, 0.500)  1.81
Tl (0.750, 0.750, 0.750)  0.00

Output
Total magnetization ... 0.55 μB/atom

---

Energy comparison, zero being the most stable, in meV per atom: arrangement i 0; arrangement ii 91.

---

Arrangement i

## Nb3VAs (PBE)

Data for a relaxed Nb3VAs crystal.

a b c (Å): 4.745 4.745 4.745
angles (deg): 90.00 90.00 90.00
Last column: magnetic moment on the atom in μB.
Positions (direct):
Nb (0.000, 0.500, 0.000)  -0.26
V (0.500, 0.500, 0.500)  2.17
Nb (0.000, 0.000, 0.500)  -0.26
Nb (0.500, 0.000, 0.000)  -0.26
As (0.000, 0.000, 0.000)  0.00

Output
Total magnetization ... 0.33 μB/atom

---

Arrangement ii

## Nb3VAs (PBE)

Data for a relaxed Nb3VAs crystal.

a b c (Å): 4.656 4.656 4.656
angles (deg): 90.00 90.00 90.00
Positions (direct):
As (0.500, 0.500, 0.500)
Nb (0.000, 0.000, 0.500)
Nb (0.500, 0.000, 0.000)
V (0.000, 0.000, 0.000)
Nb (0.000, 0.500, 0.000)

Output
Total magnetization ... 0.00 μB/atom

---

Energy comparison, zero being the most stable, in meV per atom: arrangement i 0; arrangement ii 70.

---

Arrangement i

## NbAs2W2 (PBE)

Data for a relaxed NbAs2W2 crystal.

a b c (Å): 7.148 7.148 3.196
angles (deg): 90.00 90.00 90.00
Positions (direct):
As (0.344, 0.844, 0.000)
W (0.639, 0.861, 0.500)
W (0.361, 0.139, 0.500)
As (0.656, 0.156, 0.000)
W (0.139, 0.639, 0.500)
Nb (0.500, 0.500, 0.000)
W (0.861, 0.361, 0.500)
As (0.844, 0.656, 0.000)
As (0.156, 0.344, 0.000)
Nb (0.000, 0.000, 0.000)

Output
Total magnetization ... 0.00 μB/atom

---

Arrangement ii

## NbAs2W2 (PBE)

Data for a relaxed NbAs2W2 crystal.

a b c (Å): 4.407 4.407 5.578
angles (deg): 66.73 66.73 90.00
Positions (direct):
Nb (0.000, 0.000, 0.000)
W (0.250, 0.750, 0.500)
As (0.628, 0.628, 0.745)
As (0.372, 0.372, 0.255)
W (0.750, 0.250, 0.500)

Output
Total magnetization ... 0.00 μB/atom

---

Energy comparison, zero being the most stable, in meV per atom: arrangement i 0; arrangement ii 301.

---

Arrangement i

## Y3NbAs (PBE)

Data for a relaxed Y3NbAs crystal.

a b c (Å): 5.364 5.364 5.364
angles (deg): 90.00 90.00 90.00
Last column: magnetic moment on the atom in μB.
Positions (direct):
Y (0.000, 0.000, 0.500)  0.03
Y (0.500, 0.000, 0.000)  -0.01
Nb (0.500, 0.500, 0.500)  2.02
As (0.000, 0.000, 0.000)  0.02
Y (0.000, 0.500, 0.000)  0.00

Output
Total magnetization ... 0.58 μB/atom

---

Arrangement ii

## Y3NbAs (PBE)

Data for a relaxed Y3NbAs crystal.

a b c (Å): 5.353 5.353 5.353
angles (deg): 90.00 90.00 90.00
Positions (direct):
Y (0.000, 0.000, 0.500)
Y (0.500, 0.000, 0.000)
Y (0.000, 0.500, 0.000)
As (0.500, 0.500, 0.500)
Nb (0.000, 0.000, 0.000)

Output
Total magnetization ... 0.00 μB/atom

---

Energy comparison, zero being the most stable, in meV per atom: arrangement i 0; arrangement ii 344.

---

Arrangement i

## YNbAs2 (PBE)

Data for a relaxed YNbAs2 crystal.

a b c (Å): 3.880 3.880 6.831
angles (deg): 73.50 73.50 60.00
Positions (direct):
As (0.258, 0.258, 0.227)
Nb (0.000, 0.000, 0.000)
Y (0.500, 0.500, 0.500)
As (0.742, 0.742, 0.773)

Output
Total magnetization ... 0.00 μB/atom

---

Arrangement ii

## YNbAs2 (PBE)

Data for a relaxed YNbAs2 crystal.

a b c (Å): 4.792 4.792 4.792
angles (deg): 60.00 60.00 60.00
Last column: magnetic moment on the atom in μB.
Positions (direct):
Y (0.000, 0.000, 0.000)  0.04
Nb (0.500, 0.500, 0.500)  0.38
As (0.250, 0.250, 0.250)  0.00
As (0.750, 0.750, 0.750)  0.00

Output
Total magnetization ... 0.14 μB/atom

---

Arrangement iii

## YNbAs2 (PBE)

Data for a relaxed YNbAs2 crystal.

a b c (Å): 6.101 6.101 7.550
angles (deg): 66.17 66.17 90.00
Last column: magnetic moment on the atom in μB.
Positions (direct):
As (0.375, 0.335, 0.750)  -0.02
Y (0.500, 0.500, 0.000)  0.04
As (0.665, 0.125, 0.250)  -0.02
As (0.875, 0.915, 0.750)  -0.02
Nb (0.000, 0.000, 0.000)  0.75
Nb (0.750, 0.250, 0.500)  0.75
As (0.085, 0.625, 0.250)  -0.02
Y (0.250, 0.750, 0.500)  0.04

Output
Total magnetization ... 0.24 μB/atom

---

Energy comparison, zero being the most stable, in meV per atom: arrangement i 0; arrangement ii 301; arrangement iii 569.

---

Arrangement i

## YNb2As2 (PBE)

Data for a relaxed YNb2As2 crystal.

a b c (Å): 7.487 7.487 3.398
angles (deg): 90.00 90.00 90.00
Positions (direct):
Nb (0.642, 0.858, 0.500)
Y (0.000, 0.000, 0.000)
As (0.356, 0.856, 0.000)
Y (0.500, 0.500, 0.000)
Nb (0.142, 0.642, 0.500)
As (0.856, 0.644, 0.000)
Nb (0.358, 0.142, 0.500)
Nb (0.858, 0.358, 0.500)
As (0.644, 0.144, 0.000)
As (0.144, 0.356, 0.000)

Output
Total magnetization ... 0.00 μB/atom

---

Arrangement ii

## YNb2As2 (PBE)

Data for a relaxed YNb2As2 crystal.

a b c (Å): 4.922 4.922 5.567
angles (deg): 63.76 63.76 90.00
Positions (direct):
As (0.250, 0.750, 0.500)
Nb (0.636, 0.636, 0.727)
Y (0.000, 0.000, 0.000)
As (0.750, 0.250, 0.500)
Nb (0.364, 0.364, 0.273)

Output
Total magnetization ... 0.00 μB/atom

---

Arrangement iii

## YNb2As2 (PBE)

Data for a relaxed YNb2As2 crystal.

a b c (Å): 3.974 3.974 7.033
angles (deg): 73.59 73.59 90.00
Positions (direct):
Nb (0.750, 0.250, 0.500)
Y (0.000, 0.000, 0.000)
As (0.388, 0.388, 0.224)
Nb (0.250, 0.750, 0.500)
As (0.612, 0.612, 0.776)

Output
Total magnetization ... 0.00 μB/atom

---

Energy comparison, zero being the most stable, in meV per atom: arrangement i 129; arrangement ii 254; arrangement iii 0.

---

Arrangement i

## Nb2ZnAs (PBE)

Data for a relaxed Nb2ZnAs crystal.

a b c (Å): 3.889 3.889 10.014
angles (deg): 78.80 78.80 90.00
Positions (direct):
Zn (0.250, 0.750, 0.500)
Nb (0.375, 0.375, 0.750)
Nb (0.625, 0.125, 0.250)
Nb (0.875, 0.875, 0.750)
Zn (0.500, 0.500, 0.000)
Nb (0.125, 0.625, 0.250)
As (0.750, 0.250, 0.500)
As (0.000, 0.000, 0.000)

Output
Total magnetization ... 0.00 μB/atom

---

Arrangement ii

## Nb2ZnAs (PBE)

Data for a relaxed Nb2ZnAs crystal.

a b c (Å): 4.536 4.536 4.536
angles (deg): 60.00 60.00 60.00
Positions (direct):
Nb (0.250, 0.250, 0.250)
As (0.500, 0.500, 0.500)
Zn (0.000, 0.000, 0.000)
Nb (0.750, 0.750, 0.750)

Output
Total magnetization ... 0.00 μB/atom

---

Energy comparison, zero being the most stable, in meV per atom: arrangement i 239; arrangement ii 0.

---

Arrangement i

## Zr3NbAs (PBE)

Data for a relaxed Zr3NbAs crystal.

a b c (Å): 4.963 4.963 4.963
angles (deg): 90.00 90.00 90.00
Positions (direct):
As (0.000, 0.000, 0.000)
Zr (0.500, 0.000, 0.000)
Zr (0.000, 0.000, 0.500)
Nb (0.500, 0.500, 0.500)
Zr (0.000, 0.500, 0.000)

Output
Total magnetization ... 0.00 μB/atom

---

Arrangement ii

## Zr3NbAs (PBE)

Data for a relaxed Zr3NbAs crystal.

a b c (Å): 5.073 5.073 5.073
angles (deg): 90.00 90.00 90.00
Last column: magnetic moment on the atom in μB.
Positions (direct):
Zr (0.500, 0.000, 0.000)  0.39
Zr (0.000, 0.500, 0.000)  0.25
Nb (0.000, 0.000, 0.000)  0.01
As (0.500, 0.500, 0.500)  -0.02
Zr (0.000, 0.000, 0.500)  0.18

Output
Total magnetization ... 0.29 μB/atom

---

Energy comparison, zero being the most stable, in meV per atom: arrangement i 0; arrangement ii 597.

---

Arrangement i

## ZrNb2As2 (PBE)

Data for a relaxed ZrNb2As2 crystal.

a b c (Å): 3.899 3.899 6.873
angles (deg): 73.52 73.52 90.00
Positions (direct):
Nb (0.250, 0.750, 0.500)
Zr (0.000, 0.000, 0.000)
As (0.606, 0.606, 0.787)
Nb (0.750, 0.250, 0.500)
As (0.394, 0.394, 0.213)

Output
Total magnetization ... 0.00 μB/atom

---

Arrangement ii

## ZrNb2As2 (PBE)

Data for a relaxed ZrNb2As2 crystal.

a b c (Å): 4.849 4.849 5.465
angles (deg): 63.67 63.67 90.00
Positions (direct):
As (0.750, 0.250, 0.500)
Nb (0.639, 0.639, 0.722)
Nb (0.361, 0.361, 0.278)
As (0.250, 0.750, 0.500)
Zr (0.000, 0.000, 0.000)

Output
Total magnetization ... 0.00 μB/atom

---

Arrangement iii

## ZrNb2As2 (PBE)

Data for a relaxed ZrNb2As2 crystal.

a b c (Å): 7.251 7.251 3.420
angles (deg): 90.00 90.00 90.00
Positions (direct):
Zr (0.500, 0.500, 0.000)
Nb (0.354, 0.146, 0.500)
As (0.647, 0.147, 0.000)
Nb (0.646, 0.854, 0.500)
Nb (0.146, 0.646, 0.500)
Nb (0.854, 0.354, 0.500)
As (0.353, 0.853, 0.000)
Zr (0.000, 0.000, 0.000)
As (0.853, 0.647, 0.000)
As (0.147, 0.353, 0.000)

Output
Total magnetization ... 0.00 μB/atom

---

Energy comparison, zero being the most stable, in meV per atom: arrangement i 218; arrangement ii 410; arrangement iii 0.